The following is a PBE calculation of an optimized crystal structure of ScAg2As, from Alexandria via LeMat-Bulk.

Geometry as CIF:
```
data_ScAg2As
_symmetry_space_group_name_H-M 'I m m 2'
_symmetry_Int_Tables_number 44
_cell_length_a 4.734
_cell_length_b 4.771
_cell_length_c 6.698
_cell_angle_alpha 90.00
_cell_angle_beta 90.00
_cell_angle_gamma 90.00
loop_
_symmetry_equiv_pos_as_xyz
'x,y,z'
'-x,-y,z'
'-x,y,z'
'x,-y,z'
'x+1/2,y+1/2,z+1/2'
'-x+1/2,-y+1/2,z+1/2'
'-x+1/2,y+1/2,z+1/2'
'x+1/2,-y+1/2,z+1/2'
loop_
_atom_site_label
_atom_site_fract_x
_atom_site_fract_y
_atom_site_fract_z
Sc1 0.000 0.000 0.000
Ag1 0.000 0.000 0.498
Ag2 0.000 0.500 0.249
As1 0.000 0.500 0.749
```

Results
- Volume: 151.27 Å³/cell
- Energy relative to the elements: -0.294 eV per atom
- Spin magnetization: 0.00 μB per formula unit

***

The following is a PBE calculation of an optimized crystal structure of Ti2BiSb, from Alexandria via LeMat-Bulk.

Geometry as CIF:
```
data_Ti2BiSb
_symmetry_space_group_name_H-M 'I -4 2 d'
_symmetry_Int_Tables_number 122
_symmetry_space_group_name_Hall 'I -4 2bw'
_cell_length_a 6.398
_cell_length_b 6.398
_cell_length_c 12.720
_cell_angle_alpha 90.00
_cell_angle_beta 90.00
_cell_angle_gamma 90.00
loop_
_atom_site_label
_atom_site_fract_x
_atom_site_fract_y
_atom_site_fract_z
Ti1 0.240 0.250 0.125
Bi1 0.000 0.000 0.500
Sb1 0.000 0.000 0.000
```

Results
- Energy relative to the lowest polymorph listed for this composition: 0.693 eV per atom
- Volume: 520.63 Å³/cell
- ΔE_f (raw): 38.3 kJ/mol of atoms
- Spin magnetization: 2.00 μB per formula unit

***

The following is a PBE calculation of an optimized crystal structure of Sc3SnRu2, from Alexandria via LeMat-Bulk.

Geometry as CIF:
```
data_Sc3SnRu2
_symmetry_space_group_name_H-M 'P 4/m m m'
_symmetry_Int_Tables_number 123
_symmetry_space_group_name_Hall '-P 4 2'
_cell_length_a 3.320
_cell_length_b 3.320
_cell_length_c 10.026
_cell_angle_alpha 90.00
_cell_angle_beta 90.00
_cell_angle_gamma 90.00
loop_
_atom_site_label
_atom_site_fract_x
_atom_site_fract_y
_atom_site_fract_z
Sc1 0.000 0.000 0.000
Sc2 0.000 0.000 0.304
Sn1 0.500 0.500 0.500
Ru1 0.500 0.500 0.161
```

Results
- Volume: 110.49 Å³/cell
- Energy relative to the elements: -0.622 eV per atom
- Spin magnetization: 0.00 μB per formula unit

***

The following is a PBE calculation of an optimized crystal structure of MgBeAsSe2, from Alexandria via LeMat-Bulk.

Geometry as CIF:
```
data_MgBeAsSe2
_symmetry_space_group_name_H-M 'P 4/m m m'
_symmetry_Int_Tables_number 123
_symmetry_space_group_name_Hall '-P 4 2'
_cell_length_a 4.951
_cell_length_b 4.951
_cell_length_c 4.140
_cell_angle_alpha 90.00
_cell_angle_beta 90.00
_cell_angle_gamma 90.00
loop_
_atom_site_label
_atom_site_fract_x
_atom_site_fract_y
_atom_site_fract_z
Mg1 0.000 0.000 0.000
Be1 0.500 0.500 0.500
As1 0.500 0.500 0.000
Se1 0.000 0.500 0.500
```

Results
- Energy relative to the lowest polymorph listed for this composition: 0.000 eV per atom
- Volume: 101.50 Å³/cell
- ΔE_f (raw): 7.0 kJ/mol of atoms
- Spin magnetization: 0.00 μB per formula unit

***

The following is a PBE calculation of an optimized crystal structure of CaTaPbO6, from Alexandria via LeMat-Bulk.

Geometry as CIF:
```
data_CaTaPbO6
_symmetry_space_group_name_H-M 'P -3 1 c'
_symmetry_Int_Tables_number 163
_symmetry_space_group_name_Hall '-P 3 2c'
_cell_length_a 5.5828
_cell_length_b 5.5828
_cell_length_c 9.8074
_cell_angle_alpha 90.00
_cell_angle_beta 90.00
_cell_angle_gamma 120.00
loop_
_atom_site_label
_atom_site_fract_x
_atom_site_fract_y
_atom_site_fract_z
Ca1 0.0000 0.0000 0.0000
Ta1 0.3333 0.6667 0.2500
Pb1 0.3333 0.6667 0.7500
O1 0.0269 0.3738 0.1363
```

Results
- Volume: 264.72 Å³/cell
- ΔE_f (raw): -187.9 kJ/mol of atoms
- Spin magnetization: 1.03 μB per formula unit

***

The following is a PBE calculation of an optimized crystal structure of PuAlPt3, from Alexandria via LeMat-Bulk.

Geometry as CIF:
```
data_PuAlPt3
_symmetry_space_group_name_H-M 'I m m a'
_symmetry_Int_Tables_number 74
_symmetry_space_group_name_Hall '-I 2b 2'
_cell_length_a 5.527
_cell_length_b 7.657
_cell_length_c 8.826
_cell_angle_alpha 90.00
_cell_angle_beta 90.00
_cell_angle_gamma 90.00
loop_
_atom_site_label
_atom_site_fract_x
_atom_site_fract_y
_atom_site_fract_z
Pu1 0.000 0.250 0.001
Al1 0.000 0.000 0.500
Pt1 0.000 0.250 0.669
Pt2 0.250 0.055 0.250
```

Results
- Volume: 373.55 Å³/cell
- Energy relative to the elements: -0.740 eV per atom
- Spin magnetization: 5.32 μB per formula unit